# 1
The following is a DFT calculation (GGA-PBE) of an optimized crystal structure of Mo4AsPt.

Unit cell a=5.219 b=5.219 c=5.219 alpha=60.00 beta=60.00 gamma=60.00
Fractional positions:
1 Mo 0.125 0.125 0.125
2 Mo 0.125 0.125 0.626
3 Mo 0.125 0.626 0.125
4 Mo 0.626 0.125 0.125
5 As 0.500 0.500 0.500
6 Pt 0.750 0.750 0.750

Results
The value obtained for the uncorrected energy is -8.52 eV/atom. The value obtained for the magnetic moment is 0.0 Bohr magnetons per cell.



# 2
The following is a DFT calculation (GGA-PBE) of an optimized crystal structure of MoAs2Pt.

Unit cell a=2.929 b=2.929 c=8.176 alpha=90.00 beta=90.00 gamma=107.49
Fractional positions:
1 Mo 0.000 0.000 0.000
2 As 0.500 0.500 0.243
3 As 0.500 0.500 0.757
4 Pt 0.000 0.000 0.500

Results
The calculation puts the energy above the most stable polymorph in this dataset at 0.394 eV/atom. The value obtained for the uncorrected energy is -6.28 eV/atom. The value obtained for the magnetic moment is 0.0 Bohr magnetons per cell.



# 3
The following is a DFT calculation (GGA-PBE) of an optimized crystal structure of MoAsPt2.

Unit cell a=9.095 b=9.095 c=9.095 alpha=18.15 beta=18.15 gamma=18.15
Fractional positions:
1 Mo 0.000 0.000 0.000
2 As 0.747 0.747 0.747
3 Pt 0.253 0.253 0.253
4 Pt 0.497 0.497 0.497

Results
The value obtained for the uncorrected energy is -6.89 eV/atom. The value obtained for the magnetic moment is 0.0 Bohr magnetons per cell.